# Ba8Rh2Cl (PBE, optimized geometry)
data_Ba8Rh2Cl
_chemical_formula_sum 'Ba16 Rh4 Cl2'
_symmetry_space_group_name_H-M 'C 1 2/m 1'
_symmetry_Int_Tables_number 12
_cell_length_a 15.5211
_cell_length_b 9.2101
_cell_length_c 7.6932
_cell_angle_alpha 90.00
_cell_angle_beta 91.52
_cell_angle_gamma 90.00
loop_
_symmetry_equiv_pos_as_xyz
'x,y,z'
'-x,-y,-z'
'-x,y,-z'
'x,-y,z'
'x+1/2,y+1/2,z'
'-x+1/2,-y+1/2,-z'
'-x+1/2,y+1/2,-z'
'x+1/2,-y+1/2,z'
loop_
_atom_site_label
_atom_site_type_symbol
_atom_site_fract_x
_atom_site_fract_y
_atom_site_fract_z
_atom_site_occupancy
Ba1 Ba 0.1209 0.0000 0.1884 1
Ba2 Ba 0.1333 0.5000 0.1898 1
Ba3 Ba 0.1425 0.2577 0.6655 1
Rh1 Rh 0.2400 0.0000 0.4983 1
Cl1 Cl 0.0000 0.5000 0.5000 1
# Uncorrected energy ... -3.347 eV/atom
# Energy relative to the elements, uncorrected ... -0.44 eV per atom

---

# NaCeSmTl (PBE, optimized geometry)
data_NaCeSmTl
_chemical_formula_sum 'Na4 Ce4 Sm4 Tl4'
_symmetry_space_group_name_H-M 'F -4 3 m'
_symmetry_Int_Tables_number 216
_symmetry_space_group_name_Hall 'F -4 2 3'
_cell_length_a 7.8160
_cell_length_b 7.8160
_cell_length_c 7.8160
_cell_angle_alpha 90.00
_cell_angle_beta 90.00
_cell_angle_gamma 90.00
loop_
_atom_site_label
_atom_site_type_symbol
_atom_site_fract_x
_atom_site_fract_y
_atom_site_fract_z
_atom_site_occupancy
Na1 Na 0.0000 0.0000 0.0000 1
Ce1 Ce 0.2500 0.2500 0.2500 1
Sm1 Sm 0.2500 0.2500 0.7500 1
Tl1 Tl 0.0000 0.0000 0.5000 1
# Uncorrected energy ... -3.554 eV/atom
# Calculated formation energy ... 0.031 eV per atom

---

# Hf2FeRu2 (PBE, optimized geometry)
data_Hf2FeRu2
_chemical_formula_sum 'Hf4 Fe2 Ru4'
_symmetry_space_group_name_H-M 'P 4/m b m'
_symmetry_Int_Tables_number 127
_symmetry_space_group_name_Hall '-P 4 2ab'
_cell_length_a 7.4919
_cell_length_b 7.4919
_cell_length_c 3.1162
_cell_angle_alpha 90.00
_cell_angle_beta 90.00
_cell_angle_gamma 90.00
loop_
_atom_site_label
_atom_site_type_symbol
_atom_site_fract_x
_atom_site_fract_y
_atom_site_fract_z
_atom_site_occupancy
Hf1 Hf 0.1520 0.3480 0.0000 1
Fe1 Fe 0.0000 0.0000 0.0000 1
Ru1 Ru 0.1488 0.6488 0.5000 1
# Uncorrected energy ... -9.377 eV/atom
# Offset from the most stable computed form ... 253 meV/atom
# Calculated formation energy ... 0.008 eV per atom

---

# Co2CuHPt (PBE, optimized geometry)
data_Co2CuHPt
_chemical_formula_sum 'Co2 Cu1 H1 Pt1'
_symmetry_space_group_name_H-M 'P 4/m m m'
_symmetry_Int_Tables_number 123
_symmetry_space_group_name_Hall '-P 4 2'
_cell_length_a 3.6874
_cell_length_b 3.6874
_cell_length_c 3.8872
_cell_angle_alpha 90.00
_cell_angle_beta 90.00
_cell_angle_gamma 90.00
loop_
_atom_site_label
_atom_site_type_symbol
_atom_site_fract_x
_atom_site_fract_y
_atom_site_fract_z
_atom_site_occupancy
Co1 Co 0.0000 0.5000 0.0000 1
Cu1 Cu 0.0000 0.0000 0.5000 1
H1 H 0.5000 0.5000 0.0000 1
Pt1 Pt 0.5000 0.5000 0.5000 1
# Uncorrected energy ... -5.473 eV/atom
# Offset from the most stable computed form ... 4 meV/atom

---

# NdHo2Pt (PBE, optimized geometry)
data_NdHo2Pt
_chemical_formula_sum 'Nd1 Ho2 Pt1'
_symmetry_space_group_name_H-M 'P 4/m m m'
_symmetry_Int_Tables_number 123
_symmetry_space_group_name_Hall '-P 4 2'
_cell_length_a 3.5538
_cell_length_b 3.5538
_cell_length_c 8.6567
_cell_angle_alpha 90.00
_cell_angle_beta 90.00
_cell_angle_gamma 90.00
loop_
_atom_site_label
_atom_site_type_symbol
_atom_site_fract_x
_atom_site_fract_y
_atom_site_fract_z
_atom_site_occupancy
Nd1 Nd 0.0000 0.0000 0.0000 1
Ho1 Ho 0.5000 0.5000 0.3116 1
Pt1 Pt 0.0000 0.0000 0.5000 1
# Uncorrected energy ... -5.610 eV/atom
# Offset from the most stable computed form ... 74 meV/atom
# Calculated formation energy ... -0.619 eV per atom

---

# Pm3Th2Se6 (PBE, optimized geometry)
data_Pm3Th2Se6
_chemical_formula_sum 'Pm6 Th4 Se12'
_symmetry_space_group_name_H-M 'C 1 2/m 1'
_symmetry_Int_Tables_number 12
_cell_length_a 7.2072
_cell_length_b 12.5424
_cell_length_c 7.2376
_cell_angle_alpha 90.00
_cell_angle_beta 109.60
_cell_angle_gamma 90.00
loop_
_symmetry_equiv_pos_as_xyz
'x,y,z'
'-x,-y,-z'
'-x,y,-z'
'x,-y,z'
'x+1/2,y+1/2,z'
'-x+1/2,-y+1/2,-z'
'-x+1/2,y+1/2,-z'
'x+1/2,-y+1/2,z'
loop_
_atom_site_label
_atom_site_type_symbol
_atom_site_fract_x
_atom_site_fract_y
_atom_site_fract_z
_atom_site_occupancy
Pm1 Pm 0.0000 0.0000 0.0000 1
Pm2 Pm 0.0000 0.3353 0.0000 1
Th1 Th 0.0000 0.1654 0.5000 1
Se1 Se 0.2424 0.5000 0.2582 1
Se2 Se 0.2449 0.3366 0.7463 1
# Uncorrected energy ... -6.327 eV/atom
# Energy relative to the elements, uncorrected ... -1.78 eV per atom

---

N(E_F): 0.88; 2.92; 1.03; 1.19; 0.96; 0.49 (states/eV/atom)